(1)
DFT (PBE-GGA) results for crystalline Zr6HgRh at its relaxed geometry.

Unit cell a=8.004 b=7.663 c=5.547 alpha=46.20 beta=43.77 gamma=58.50
Fractional coordinates of all 8 atoms:
1 Zr 0.004 0.475 0.764
2 Zr 0.757 0.996 0.725
3 Zr 0.524 0.243 0.229
4 Zr 0.243 0.004 0.275
5 Zr 0.996 0.525 0.236
6 Zr 0.476 0.757 0.771
7 Hg 0.500 0.500 0.500
8 Rh 0.000 0.000 0.000

Calculated volume ... 21.21 Å³ per atom
D(E_F) ... 1.191 states/eV per atom
Total magnetic moment ... 0.000 μB per formula unit
Formation energy from the elements ... -232 meV/atom
Electronic total energy ... -60.801 eV/cell
Space group ... P-1 (2)

=====

(2)
DFT (PBE-GGA) results for crystalline Ac4InHgO at its relaxed geometry.

Unit cell a=7.240 b=7.269 c=9.644 alpha=90.00 beta=112.05 gamma=90.00
Fractional coordinates of all 14 atoms:
1 Ac 0.939 0.250 0.877
2 Ac 0.423 0.750 0.846
3 Ac 0.061 0.750 0.123
4 Ac 0.577 0.250 0.154
5 Ac 0.500 0.500 0.500
6 Ac 0.000 0.000 0.500
7 Ac 0.500 0.000 0.500
8 Ac 0.000 0.500 0.500
9 In 0.614 0.750 0.228
10 In 0.386 0.250 0.772
11 Hg 0.119 0.250 0.238
12 Hg 0.881 0.750 0.762
13 O 0.276 0.750 0.552
14 O 0.724 0.250 0.448

Calculated volume ... 33.60 Å³ per atom
D(E_F) ... 1.140 states/eV per atom
Total magnetic moment ... 0.000 μB per formula unit
Electronic total energy ... -62.366 eV/cell
Space group ... Cmcm (63)

=====

(3)
DFT (PBE-GGA) results for crystalline Ba4AcPb3O12 at its relaxed geometry.

Unit cell a=7.712 b=7.712 c=7.712 alpha=109.47 beta=109.47 gamma=109.47
Last column: magnetic moment on the atom in μB.
Fractional coordinates of all 20 atoms:
1 Ba 0.500 0.500 0.500  0.00
2 Ba 0.000 0.000 0.500  0.00
3 Ba 0.500 0.000 0.000  0.00
4 Ba 0.000 0.500 0.000  0.00
5 Ac 0.000 0.000 0.000  0.02
6 Pb 0.500 0.000 0.500  0.00
7 Pb 0.500 0.500 0.000  0.00
8 Pb 0.000 0.500 0.500  0.00
9 O 0.250 0.500 0.750  0.06
10 O 0.736 0.000 0.736  0.03
11 O 0.264 0.000 0.264  0.03
12 O 0.750 0.500 0.250  0.06
13 O 0.736 0.736 0.000  0.03
14 O 0.264 0.264 0.000  0.03
15 O 0.750 0.250 0.500  0.06
16 O 0.250 0.750 0.500  0.06
17 O 0.500 0.250 0.750  0.06
18 O 0.000 0.736 0.736  0.03
19 O 0.500 0.750 0.250  0.06
20 O 0.000 0.264 0.264  0.03

Calculated volume ... 17.66 Å³ per atom
D(E_F) ... 0.953 states/eV per atom
Total magnetic moment ... 0.671 μB per formula unit
Electronic total energy ... -119.974 eV/cell
Space group ... Im-3m (229)

=====

(4)
DFT (PBE-GGA) results for crystalline La2ZnPdC at its relaxed geometry.

Unit cell a=5.307 b=5.307 c=3.899 alpha=90.00 beta=90.00 gamma=90.00
Fractional coordinates of all 5 atoms:
1 Zn 0.000 0.000 0.500
2 C 0.000 0.000 0.000
3 Pd 0.500 0.500 0.500
4 La 0.000 0.500 0.000
5 La 0.500 0.000 0.000

Calculated volume ... 21.96 Å³ per atom
ΔE to the lowest computed polymorph ... 0 meV per atom
D(E_F) ... 0.534 states/eV per atom
Total magnetic moment ... 0.000 μB per formula unit
Formation energy from the elements ... -269 meV/atom
Electronic total energy ... -26.890 eV/cell
Space group ... P4/mmm (123)

=====

(5)
DFT (PBE-GGA) results for crystalline NaZrIn2N at its relaxed geometry.

Unit cell a=5.345 b=5.345 c=4.172 alpha=90.00 beta=90.00 gamma=90.00
Fractional coordinates of all 5 atoms:
1 Na 0.000 0.000 0.000
2 N 0.000 0.000 0.500
3 Zr 0.500 0.500 0.500
4 In 0.000 0.500 0.000
5 In 0.500 0.000 0.000

Calculated volume ... 23.84 Å³ per atom
D(E_F) ... 0.731 states/eV per atom
Total magnetic moment ... 0.000 μB per formula unit
Electronic total energy ... -18.102 eV/cell
Space group ... P4/mmm (123)

=====

(6)
DFT (PBE-GGA) results for crystalline KCr3 at its relaxed geometry.

Unit cell a=4.893 b=4.893 c=4.893 alpha=119.21 beta=119.21 gamma=91.37
Last column: magnetic moment on the atom in μB.
Fractional coordinates of all 4 atoms:
1 Cr 0.250 0.750 0.500  3.75
2 Cr 0.500 0.500 0.000  -3.58
3 Cr 0.750 0.250 0.500  3.75
4 K 0.000 0.000 0.000  0.06

Calculated volume ... 20.94 Å³ per atom
ΔE to the lowest computed polymorph ... 527 meV per atom
D(E_F) ... 0.482 states/eV per atom
Total magnetic moment ... 4.583 μB per formula unit
Formation energy from the elements ... 1321 meV/atom
Electronic total energy ... -24.685 eV/cell
Space group ... I4/mmm (139)

=====

(7)
DFT (PBE-GGA) results for crystalline Ce5DySb4 at its relaxed geometry.

Unit cell a=4.342 b=8.708 c=9.765 alpha=104.40 beta=102.85 gamma=90.00
Last column: magnetic moment on the atom in μB.
Fractional coordinates of all 10 atoms:
1 Ce 0.822 0.651 0.644  1.08
2 Ce 0.836 0.182 0.672  0.89
3 Ce 0.164 0.818 0.328  0.89
4 Ce 0.500 0.500 0.000  -0.90
5 Ce 0.178 0.349 0.356  1.08
6 Dy 0.500 0.000 0.000  -0.01
7 Sb 0.333 0.918 0.666  -0.03
8 Sb 0.993 0.749 0.985  0.00
9 Sb 0.667 0.082 0.334  -0.03
10 Sb 0.007 0.251 0.015  0.00

Calculated volume ... 34.81 Å³ per atom
D(E_F) ... 3.634 states/eV per atom
Total magnetic moment ... 3.853 μB per formula unit
Electronic total energy ... -56.708 eV/cell
Space group ... C2/m (12)

=====

(8)
DFT (PBE-GGA) results for crystalline TbErBe at its relaxed geometry.

Unit cell a=3.451 b=3.451 c=6.453 alpha=105.51 beta=105.51 gamma=90.00
Fractional coordinates of all 3 atoms:
1 Be 0.669 0.669 0.339
2 Tb 0.030 0.030 0.059
3 Er 0.301 0.301 0.602

Calculated volume ... 23.72 Å³ per atom
ΔE to the lowest computed polymorph ... 0 meV per atom
D(E_F) ... 1.071 states/eV per atom
Total magnetic moment ... 0.000 μB per formula unit
Formation energy from the elements ... 84 meV/atom
Electronic total energy ... -12.668 eV/cell
Space group ... I4mm (107)

=====

(9)
DFT (PBE-GGA) results for crystalline Cs3LiAs2O6 at its relaxed geometry.

Unit cell a=6.359 b=6.359 c=7.759 alpha=90.00 beta=90.00 gamma=120.00
Last column: magnetic moment on the atom in μB.
Fractional coordinates of all 12 atoms:
1 Cs 0.333 0.667 0.678  0.01
2 Cs 0.667 0.333 0.322  0.01
3 Cs 0.000 0.000 0.000  0.00
4 Li 0.000 0.000 0.500  0.01
5 As 0.667 0.333 0.762  0.16
6 As 0.333 0.667 0.238  0.16
7 O 0.633 0.817 0.308  0.17
8 O 0.183 0.367 0.308  0.17
9 O 0.183 0.817 0.308  0.17
10 O 0.817 0.633 0.692  0.17
11 O 0.367 0.183 0.692  0.17
12 O 0.817 0.183 0.692  0.17

Calculated volume ... 22.64 Å³ per atom
D(E_F) ... 0.357 states/eV per atom
Total magnetic moment ... 1.970 μB per formula unit
Electronic total energy ... -60.590 eV/cell
Space group ... P-3m1 (164)

=====

(10)
DFT (PBE-GGA) results for crystalline BaAlRhO6 at its relaxed geometry.

Unit cell a=5.127 b=5.127 c=5.821 alpha=90.00 beta=90.00 gamma=60.00
Fractional coordinates of all 9 atoms:
1 Ba 0.000 0.000 0.000
2 Al 0.667 0.667 0.500
3 Rh 0.333 0.333 0.500
4 O 0.996 0.394 0.313
5 O 0.394 0.996 0.687
6 O 0.610 0.394 0.687
7 O 0.996 0.610 0.687
8 O 0.394 0.610 0.313
9 O 0.610 0.996 0.313

Calculated volume ... 14.72 Å³ per atom
D(E_F) ... 0.673 states/eV per atom
Total magnetic moment ... 0.000 μB per formula unit
Electronic total energy ... -57.111 eV/cell
Space group ... P312 (149)

=====

(11)
DFT (PBE-GGA) results for crystalline Ba2SrInS at its relaxed geometry.

Unit cell a=6.142 b=6.142 c=5.675 alpha=90.00 beta=90.00 gamma=90.00
Fractional coordinates of all 5 atoms:
1 Sr 0.000 0.000 0.500
2 S 0.000 0.000 0.000
3 Ba 0.000 0.500 0.000
4 Ba 0.500 0.000 0.000
5 In 0.500 0.500 0.500

Calculated volume ... 42.82 Å³ per atom
D(E_F) ... 1.197 states/eV per atom
Total magnetic moment ... 0.026 μB per formula unit
Electronic total energy ... -16.811 eV/cell
Space group ... P4/mmm (123)

=====

(12)
DFT (PBE-GGA) results for crystalline CdSi2HgO6 at its relaxed geometry.

Unit cell a=5.405 b=7.281 c=7.281 alpha=88.80 beta=76.58 gamma=76.58
Fractional coordinates of all 20 atoms:
1 Cd 0.250 0.899 0.101
2 Cd 0.750 0.101 0.899
3 Si 0.259 0.782 0.627
4 Si 0.241 0.373 0.218
5 Si 0.741 0.218 0.373
6 Si 0.759 0.627 0.782
7 Hg 0.250 0.286 0.714
8 Hg 0.750 0.714 0.286
9 O 0.161 0.953 0.787
10 O 0.339 0.213 0.047
11 O 0.839 0.047 0.213
12 O 0.661 0.787 0.953
13 O 0.358 0.846 0.409
14 O 0.142 0.591 0.154
15 O 0.642 0.154 0.591
16 O 0.858 0.409 0.846
17 O 0.016 0.677 0.630
18 O 0.484 0.370 0.323
19 O 0.984 0.323 0.370
20 O 0.516 0.630 0.677

Calculated volume ... 13.55 Å³ per atom
D(E_F) ... 0.000 states/eV per atom
Total magnetic moment ... 0.000 μB per formula unit
Electronic total energy ... -122.334 eV/cell
Space group ... C2/c (15)

=====

(13)
DFT (PBE-GGA) results for crystalline Pm3O at its relaxed geometry.

Unit cell a=3.303 b=6.136 c=6.188 alpha=119.72 beta=105.48 gamma=90.00
Fractional coordinates of all 4 atoms:
1 O 0.000 0.061 0.000
2 Pm 0.336 0.710 0.672
3 Pm 0.500 0.358 0.000
4 Pm 0.664 0.037 0.328

Calculated volume ... 25.91 Å³ per atom
ΔE to the lowest computed polymorph ... 137 meV per atom
D(E_F) ... 0.868 states/eV per atom
Total magnetic moment ... 0.000 μB per formula unit
Electronic total energy ... -23.347 eV/cell
Space group ... Imm2 (44)

=====

(14)
DFT (PBE-GGA) results for crystalline MgHPt2Au at its relaxed geometry.

Unit cell a=3.998 b=3.998 c=4.217 alpha=90.00 beta=90.00 gamma=90.00
Fractional coordinates of all 5 atoms:
1 H 0.000 0.000 0.000
2 Mg 0.000 0.000 0.500
3 Au 0.500 0.500 0.500
4 Pt 0.000 0.500 0.000
5 Pt 0.500 0.000 0.000

Calculated volume ... 13.48 Å³ per atom
ΔE to the lowest computed polymorph ... 0 meV per atom
D(E_F) ... 0.158 states/eV per atom
Total magnetic moment ... 0.000 μB per formula unit
Electronic total energy ... -22.278 eV/cell
Space group ... P4/mmm (123)

=====

(15)
DFT (PBE-GGA) results for crystalline SmEr2AgHg4 at its relaxed geometry.

Unit cell a=5.064 b=5.064 c=9.312 alpha=74.22 beta=74.22 gamma=60.00
Fractional coordinates of all 8 atoms:
1 Sm 0.000 0.000 0.000
2 Er 0.760 0.760 0.721
3 Er 0.240 0.240 0.279
4 Ag 0.500 0.500 0.500
5 Hg 0.379 0.379 0.863
6 Hg 0.875 0.875 0.374
7 Hg 0.125 0.125 0.626
8 Hg 0.621 0.621 0.137

Calculated volume ... 24.54 Å³ per atom
D(E_F) ... 0.727 states/eV per atom
Total magnetic moment ... 0.000 μB per formula unit
Formation energy from the elements ... -376 meV/atom
Electronic total energy ... -20.910 eV/cell
Space group ... R-3m (166)

=====

(16)
DFT (PBE-GGA) results for crystalline AlTl2Cu at its relaxed geometry.

Unit cell a=8.977 b=8.977 c=8.977 alpha=22.11 beta=22.11 gamma=22.11
Fractional coordinates of all 4 atoms:
1 Tl 0.008 0.008 0.008
2 Tl 0.492 0.492 0.492
3 Al 0.250 0.250 0.250
4 Cu 0.750 0.750 0.750

Calculated volume ... 22.47 Å³ per atom
ΔE to the lowest computed polymorph ... 212 meV per atom
D(E_F) ... 0.597 states/eV per atom
Total magnetic moment ... 0.000 μB per formula unit
Formation energy from the elements ... 337 meV/atom
Electronic total energy ... -11.225 eV/cell
Space group ... R-3m (166)

=====

(17)
DFT (PBE-GGA) results for crystalline SmPa3Ru2 at its relaxed geometry.

Unit cell a=4.586 b=8.298 c=8.376 alpha=116.21 beta=90.00 gamma=106.04
Fractional coordinates of all 12 atoms:
1 Sm 0.888 0.776 0.966
2 Sm 0.112 0.224 0.034
3 Pa 0.290 0.581 0.636
4 Pa 0.937 0.874 0.584
5 Pa 0.625 0.251 0.688
6 Pa 0.375 0.749 0.312
7 Pa 0.063 0.126 0.416
8 Pa 0.710 0.419 0.364
9 Ru 0.478 0.955 0.792
10 Ru 0.522 0.045 0.208
11 Ru 0.767 0.535 0.134
12 Ru 0.233 0.465 0.866

Calculated volume ... 22.67 Å³ per atom
D(E_F) ... 1.242 states/eV per atom
Total magnetic moment ... 0.000 μB per formula unit
Formation energy from the elements ... -308 meV/atom
Electronic total energy ... -107.210 eV/cell
Space group ... C2/m (12)

=====

(18)
DFT (PBE-GGA) results for crystalline BaLiTlAg at its relaxed geometry.

Unit cell a=5.396 b=5.396 c=5.396 alpha=60.00 beta=60.00 gamma=60.00
Fractional coordinates of all 4 atoms:
1 Tl 0.500 0.500 0.500
2 Ba 0.000 0.000 0.000
3 Ag 0.250 0.250 0.250
4 Li 0.750 0.750 0.750

Calculated volume ... 27.78 Å³ per atom
ΔE to the lowest computed polymorph ... 117 meV per atom
D(E_F) ... 1.352 states/eV per atom
Total magnetic moment ... 0.007 μB per formula unit
Formation energy from the elements ... -140 meV/atom
Electronic total energy ... -9.613 eV/cell
Space group ... F-43m (216)

=====

(19)
DFT (PBE-GGA) results for crystalline MgZnCo2 at its relaxed geometry.

Unit cell a=2.890 b=2.890 c=6.556 alpha=90.00 beta=90.00 gamma=90.00
Last column: magnetic moment on the atom in μB.
Fractional coordinates of all 4 atoms:
1 Zn 0.500 0.500 0.789  -0.02
2 Co 0.000 0.000 0.021  1.57
3 Co 0.500 0.500 0.212  1.57
4 Mg 0.000 0.000 0.478  -0.01

Calculated volume ... 13.69 Å³ per atom
D(E_F) ... 0.807 states/eV per atom
Total magnetic moment ... 3.028 μB per formula unit
Formation energy from the elements ... 15 meV/atom
Electronic total energy ... -17.021 eV/cell
Space group ... P4mm (99)

=====

(20)
DFT (PBE-GGA) results for crystalline RbErHgSe3 at its relaxed geometry.

Unit cell a=4.261 b=9.107 c=10.419 alpha=109.21 beta=90.00 gamma=90.00
Fractional coordinates of all 12 atoms:
1 Rb 0.250 0.222 0.247
2 Rb 0.750 0.778 0.753
3 Er 0.250 0.670 0.135
4 Er 0.750 0.330 0.865
5 Hg 0.250 0.088 0.615
6 Hg 0.750 0.912 0.385
7 Se 0.750 0.887 0.127
8 Se 0.250 0.113 0.873
9 Se 0.250 0.761 0.447
10 Se 0.750 0.239 0.553
11 Se 0.750 0.466 0.148
12 Se 0.250 0.534 0.852

Calculated volume ... 31.81 Å³ per atom
Total magnetic moment ... 0.000 μB per formula unit
Electronic total energy ... -46.863 eV/cell
Space group ... P2_1/m (11)